Computed, not measured: a PBEsol-optimized structure of LiZn2In at the meta-GGA SCAN level of DFT.

The structure in extended XYZ format:
```
4
Lattice="2.946 0.000 0.000 0.000 4.624 0.000 -0.338 0.000 5.072" Properties=species:S:1:pos:R:3 pbc="T T T"
Li 0.000 0.000 0.000
Zn 0.846 2.312 1.104
Zn 1.762 2.312 3.967
In 1.304 0.000 2.536
```

Results
Size of the total moment = 0.0 Bohr magnetons per cell
E = -15.79 eV/atom